CrGeSb2: optimized geometry, PBE.

Size of the total moment = 4.18 μB per cell
Theoretical density = 6.3 Mg/m³
Raw formation energy = 642 meV/atom

```
CrGeSb2
1.0
3.203 0.000 0.000
1.601 2.773 0.000
1.601 0.924 10.891
Ge Sb Cr
1 2 1
direct
0.500 0.500 0.500
0.916 0.916 0.253
0.084 0.084 0.747
0.000 0.000 0.000
```